Entry 1:
A relaxed structure of FeHg2Mo, computed with PBE.

Lattice parameters (Å, degrees): 5.2082 5.2082 2.8034 90.00 90.00 112.34
Positions (direct):
Fe  0.0000  0.0000  0.0000
Hg  0.0000  0.5000  0.5000
Hg  0.5000  0.0000  0.5000
Mo  0.5000  0.5000  0.0000

Results
The value obtained for the magnetization is 3.095 μB per cell. The energy above the most stable polymorph in this dataset comes out at 5.10 kcal/mol of atoms.

---

Entry 2:
A relaxed structure of FeHgMo2, computed with PBE.

Lattice parameters (Å, degrees): 4.8495 4.8495 4.8495 130.92 130.92 71.94
Positions (direct):
Fe  0.0000  0.0000  0.0000
Hg  0.2500  0.7500  0.5000
Mo  0.5000  0.5000  0.0000
Mo  0.7500  0.2500  0.5000

Results
The value obtained for the magnetization is 2.440 μB per cell.

---

Entry 3:
A relaxed structure of FeHgMo4, computed with PBE.

Lattice parameters (Å, degrees): 5.2365 5.2365 5.2365 60.00 60.00 60.00
Positions (direct):
Fe  0.0000  0.0000  0.0000
Hg  0.2500  0.2500  0.2500
Mo  0.1245  0.6252  0.6252
Mo  0.6252  0.1245  0.6252
Mo  0.6252  0.6252  0.1245
Mo  0.6252  0.6252  0.6252

Results
The value obtained for the magnetization is 1.993 μB per cell.

---

Entry 4:
A relaxed structure of FeHg2Mo, computed with PBE.

Lattice parameters (Å, degrees): 4.0922 4.0922 4.2010 90.00 90.00 90.00
Positions (direct):
Fe  0.0000  0.0000  0.0000
Hg  0.0000  0.5000  0.5000
Hg  0.5000  0.0000  0.5000
Mo  0.5000  0.5000  0.0000

Results
The value obtained for the magnetization is 3.168 μB per cell. The energy above the most stable polymorph in this dataset comes out at 5.59 kcal/mol of atoms.

---

Number 1: E_form 586 meV/atom. Number 2: E_form 492 meV/atom. Number 3: E_form 581 meV/atom. Number 4: E_form 607 meV/atom.